Entry 1:
An optimized crystal structure of Tb3MgO, computed with PBE.

POSCAR file:
```
Tb3MgO
1.0
-4.764 0.307 0.870
-0.922 -1.375 -4.562
-0.042 -4.644 1.408
Mg Tb O
1 3 1
direct
0.500 0.500 0.500
0.000 0.500 0.000
0.000 0.000 0.500
0.500 0.000 0.000
0.000 0.000 0.000
```

**Formation energy from raw total energies**: -1201 meV per atom
**Total energy**: -26.451 eV per cell

***

Entry 2:
An optimized crystal structure of Tb4Mg2O, computed with PBE.

POSCAR file:
```
Tb4Mg2O
1.0
-0.218 -1.154 4.660
3.476 -3.254 -0.643
3.858 7.744 -0.380
Mg Tb O
2 4 1
direct
0.637 0.637 0.275
0.363 0.363 0.725
0.844 0.844 0.688
0.156 0.156 0.312
0.000 0.500 0.000
0.500 0.000 0.000
0.000 0.000 0.000
```

**Formation energy from raw total energies**: -694 meV per atom
**Total energy**: -31.523 eV per cell

***

Entry 3:
An optimized crystal structure of Tb2MgO, computed with PBE.

POSCAR file:
```
Tb2MgO
1.0
-0.591 1.103 3.302
-2.669 -1.364 1.867
3.850 -5.884 4.544
Mg Tb O
1 2 1
direct
0.500 0.500 0.500
0.279 0.279 0.164
0.721 0.721 0.836
0.000 0.000 0.000
```

**Formation energy from raw total energies**: -1355 meV per atom
**Energy above the lowest structure with this stoichiometry**: 0 meV/atom
**Total energy**: -21.233 eV per cell

***

Entry 4:
An optimized crystal structure of TbMgO, computed with PBE.

POSCAR file:
```
TbMgO
1.0
-3.640 -0.510 0.347
-1.343 -3.391 0.570
-0.803 0.255 11.579
O Mg Tb
2 2 2
direct
0.307 0.307 0.078
0.693 0.693 0.922
0.203 0.203 0.390
0.797 0.797 0.610
0.377 0.377 0.868
0.623 0.623 0.132
```

**Formation energy from raw total energies**: -1816 meV per atom
**Total energy**: -33.264 eV per cell

***

Entry 5:
An optimized crystal structure of Tb2MgO, computed with PBE.

POSCAR file:
```
Tb2MgO
1.0
3.070 0.000 0.000
0.000 3.070 0.000
0.000 0.000 8.447
Mg Tb O
1 2 1
direct
0.500 0.500 0.500
0.000 0.000 0.816
0.000 0.000 0.184
0.500 0.500 0.000
```

**Formation energy from raw total energies**: -926 meV per atom
**Energy above the lowest structure with this stoichiometry**: 429 meV/atom
**Total energy**: -19.517 eV per cell

***

Entry 6:
An optimized crystal structure of TbMgO2, computed with PBE.

POSCAR file:
```
TbMgO2
1.0
-1.234 -2.764 -0.944
0.804 -2.684 1.484
-4.378 -1.132 3.712
Mg Tb O
1 1 2
direct
0.000 0.000 0.000
0.500 0.500 0.500
0.263 0.263 0.212
0.737 0.737 0.788
```

**Formation energy from raw total energies**: -2598 meV per atom
**Total energy**: -26.533 eV per cell

***

Entry 7:
An optimized crystal structure of Tb2MgTiO6, computed with PBE.

POSCAR file:
```
Tb2MgTiO6
1.0
-4.927 0.982 2.572
-1.120 -5.230 -0.148
2.285 -6.120 6.715
Tb Mg Ti O
4 2 2 12
direct
0.066 0.730 0.752
0.934 0.270 0.248
0.566 0.270 0.748
0.434 0.730 0.252
0.500 0.500 0.000
0.000 0.500 0.500
0.500 0.000 0.500
0.000 0.000 0.000
0.458 0.870 0.743
0.542 0.130 0.257
0.958 0.130 0.757
0.042 0.870 0.243
0.795 0.752 0.561
0.205 0.248 0.439
0.295 0.248 0.939
0.705 0.752 0.061
0.311 0.647 0.555
0.689 0.353 0.445
0.811 0.353 0.945
0.189 0.647 0.055
```

**Formation energy from raw total energies**: -3281 meV per atom
**Total energy**: -162.617 eV per cell

***

Entry 8:
An optimized crystal structure of Mg2TcO6, computed with PBE.

POSCAR file:
```
Mg2TcO6
1.0
4.750 0.000 0.000
0.000 4.750 0.000
0.000 0.000 9.106
Mg Tc O
4 2 12
direct
0.500 0.500 0.334
0.500 0.500 0.666
0.000 0.000 0.166
0.000 0.000 0.834
0.500 0.500 0.000
0.000 0.000 0.500
0.693 0.693 0.149
0.693 0.693 0.851
0.713 0.713 0.500
0.787 0.213 0.000
0.807 0.193 0.351
0.807 0.193 0.649
0.193 0.807 0.351
0.193 0.807 0.649
0.213 0.787 0.000
0.287 0.287 0.500
0.307 0.307 0.149
0.307 0.307 0.851
```

**Formation energy from raw total energies**: -1676 meV per atom
**Total energy**: -116.784 eV per cell

***

Entry 9:
An optimized crystal structure of MgTcO4, computed with PBE.

POSCAR file:
```
MgTcO4
1.0
-0.847 4.596 -0.455
-4.170 -0.398 3.735
5.761 1.217 1.566
Mg Tc O
2 2 8
direct
0.000 0.000 0.500
0.500 0.500 0.000
0.500 0.500 0.500
0.000 0.000 0.000
0.720 0.685 0.826
0.780 0.185 0.326
0.310 0.310 0.626
0.810 0.190 0.874
0.190 0.810 0.126
0.690 0.690 0.374
0.220 0.815 0.674
0.280 0.315 0.174
```

**Formation energy from raw total energies**: -1751 meV per atom
**Energy above the lowest structure with this stoichiometry**: 0 meV/atom
**Total energy**: -84.597 eV per cell

***

Entry 10:
An optimized crystal structure of Mg3TcO6, computed with PBE.

POSCAR file:
```
Mg3TcO6
1.0
6.062 -0.015 -0.015
-0.146 6.060 -0.015
-0.146 -0.149 6.058
Mg Tc O
6 2 12
direct
0.437 0.932 0.747
0.932 0.747 0.437
0.253 0.563 0.068
0.747 0.437 0.932
0.068 0.253 0.563
0.563 0.068 0.253
0.000 0.000 0.000
0.500 0.500 0.500
0.300 0.929 0.079
0.071 0.921 0.700
0.594 0.802 0.449
0.921 0.700 0.071
0.449 0.594 0.802
0.198 0.551 0.406
0.802 0.449 0.594
0.551 0.406 0.198
0.079 0.300 0.929
0.406 0.198 0.551
0.929 0.079 0.300
0.700 0.071 0.921
```

**Formation energy from raw total energies**: -2110 meV per atom
**Total energy**: -131.999 eV per cell

***

Entry 11:
An optimized crystal structure of MgTcO2, computed with PBE.

POSCAR file:
```
MgTcO2
1.0
-4.108 -2.550 -0.516
0.612 -0.011 -4.824
0.458 -4.892 -2.381
Mg Tc O
2 2 4
direct
0.500 0.500 0.000
0.250 0.750 0.500
0.000 0.000 0.000
0.750 0.250 0.500
0.602 0.125 0.250
0.148 0.625 0.250
0.375 0.398 0.750
0.875 0.852 0.750
```

**Formation energy from raw total energies**: -1154 meV per atom
**Total energy**: -52.987 eV per cell

***

Entry 12:
An optimized crystal structure of Mg2TcO, computed with PBE.

POSCAR file:
```
Mg2TcO
1.0
-1.072 5.474 2.610
-4.361 1.146 -4.194
-5.100 1.852 1.288
Mg Tc O
4 2 2
direct
0.516 0.125 0.250
0.234 0.625 0.250
0.375 0.484 0.750
0.875 0.766 0.750
0.000 0.000 0.000
0.750 0.250 0.500
0.500 0.500 0.000
0.250 0.750 0.500
```

**Formation energy from raw total energies**: -361 meV per atom
**Total energy**: -39.912 eV per cell

***

Repeat the seventh record exactly.
An optimized crystal structure of Tb2MgTiO6, computed with PBE.

POSCAR file:
```
Tb2MgTiO6
1.0
-4.927 0.982 2.572
-1.120 -5.230 -0.148
2.285 -6.120 6.715
Tb Mg Ti O
4 2 2 12
direct
0.066 0.730 0.752
0.934 0.270 0.248
0.566 0.270 0.748
0.434 0.730 0.252
0.500 0.500 0.000
0.000 0.500 0.500
0.500 0.000 0.500
0.000 0.000 0.000
0.458 0.870 0.743
0.542 0.130 0.257
0.958 0.130 0.757
0.042 0.870 0.243
0.795 0.752 0.561
0.205 0.248 0.439
0.295 0.248 0.939
0.705 0.752 0.061
0.311 0.647 0.555
0.689 0.353 0.445
0.811 0.353 0.945
0.189 0.647 0.055
```

**Formation energy from raw total energies**: -3281 meV per atom
**Total energy**: -162.617 eV per cell

***

Q: What is the formula in the tenth record?
A: Mg3TcO6